## P
First-principles (PBE-GGA) data for NdHo2Zn2 after structural relaxation, as listed in Alexandria.

```
NdHo2Zn2
1.0
3.593 0.000 -0.482
0.000 5.228 0.000
-0.035 0.000 13.395
Nd Ho Zn
2 4 4
direct
0.856 0.750 0.714
0.144 0.250 0.286
0.046 0.750 0.093
0.954 0.250 0.907
0.232 0.750 0.465
0.768 0.250 0.535
0.640 0.750 0.281
0.360 0.250 0.719
0.454 0.750 0.908
0.546 0.250 0.092
```

## Properties
As for the crystal system: monoclinic. As for the calculated density: 7.987 g cm⁻³. The calculation puts the magnetic moment at 0.0 μB/cell. Its density of states at the Fermi level is 1.040 states/eV/atom. Its space group is P2_1/m, No. 11.

## Q
First-principles (PBE-GGA) data for NdHo2Zn2 after structural relaxation, as listed in Alexandria.

```
NdHo2Zn2
1.0
5.244 0.000 0.000
0.000 6.244 0.000
-2.622 0.000 7.687
Nd Ho Zn
2 4 4
direct
0.584 0.907 0.169
0.416 0.407 0.831
0.041 0.262 0.083
0.201 0.646 0.403
0.799 0.146 0.597
0.959 0.762 0.917
0.628 0.413 0.256
0.219 0.138 0.438
0.781 0.638 0.562
0.372 0.913 0.744
```

## Properties
As for the crystal system: orthorhombic. As for the calculated density: 7.982 g cm⁻³. The calculation puts the magnetic moment at 0.0 μB/cell. Its density of states at the Fermi level is 0.931 states/eV/atom. Its space group is Cmc2_1, No. 36.

Energy ordering: P at the bottom, the next structure 61 meV per atom above.

## P
First-principles (PBE-GGA) data for HoNi6 after structural relaxation, as listed in Alexandria.

```
HoNi6
1.0
-0.448 2.132 4.813
-3.076 -4.027 1.497
4.272 -2.675 1.583
Ho Ni
1 6
direct
0.000 0.000 0.000
0.197 0.500 0.500
0.500 0.500 0.803
0.500 0.500 0.197
0.500 0.197 0.500
0.500 0.803 0.500
0.803 0.500 0.500
```

## Properties
As for the crystal system: cubic. As for the calculated density: 5.822 g cm⁻³. The calculation puts the magnetic moment at 4.4 μB/cell. Its density of states at the Fermi level is 1.136 states/eV/atom. Its space group is Pm-3m, No. 221.

## Q
First-principles (PBE-GGA) data for HoNi6 after structural relaxation, as listed in Alexandria.

```
HoNi6
1.0
4.822 0.000 0.000
0.000 7.760 0.000
0.000 0.000 9.755
Ho Ni
4 24
direct
0.750 0.242 0.939
0.250 0.758 0.061
0.750 0.742 0.561
0.250 0.258 0.439
0.750 0.603 0.019
0.250 0.397 0.981
0.750 0.103 0.481
0.250 0.897 0.519
0.006 0.433 0.192
0.506 0.567 0.808
0.494 0.933 0.308
0.994 0.067 0.692
0.994 0.567 0.808
0.494 0.433 0.192
0.506 0.067 0.692
0.006 0.933 0.308
0.250 0.147 0.148
0.750 0.853 0.852
0.250 0.647 0.352
0.750 0.353 0.648
0.250 0.818 0.758
0.750 0.182 0.242
0.250 0.318 0.742
0.750 0.682 0.258
0.250 0.561 0.591
0.750 0.439 0.409
0.250 0.061 0.909
0.750 0.939 0.091
```

## Properties
As for the crystal system: orthorhombic. As for the calculated density: 9.409 g cm⁻³. The calculation puts the magnetic moment at 7.4 μB/cell. Its density of states at the Fermi level is 1.464 states/eV/atom. Its space group is Pnma, No. 62.

Energy ordering: Q at the bottom, the next structure 1144 meV per atom above.

## P
First-principles (PBE-GGA) data for HoNi4 after structural relaxation, as listed in Alexandria.

```
HoNi4
1.0
4.572 0.000 0.000
0.000 4.572 0.000
0.000 0.000 4.572
Ni Ho
4 1
direct
0.000 0.000 0.000
0.500 0.000 0.500
0.000 0.500 0.500
0.500 0.500 0.000
0.500 0.500 0.500
```

## Properties
As for the crystal system: cubic. As for the calculated density: 6.946 g cm⁻³. The calculation puts the magnetic moment at 0.4 μB/cell. Its density of states at the Fermi level is 1.595 states/eV/atom. Its space group is Pm-3m, No. 221.

## Q
First-principles (PBE-GGA) data for HoNi4 after structural relaxation, as listed in Alexandria.

```
HoNi4
1.0
5.353 -1.648 -0.758
-4.246 3.653 -0.758
0.910 1.648 5.329
Ho Ni
1 4
direct
0.000 0.000 0.000
0.000 0.323 0.323
0.677 0.000 0.677
0.000 0.677 0.677
0.323 0.000 0.323
```

## Properties
As for the crystal system: tetragonal. As for the calculated density: 8.040 g cm⁻³. The calculation puts the magnetic moment at 0.1 μB/cell. Its density of states at the Fermi level is 2.181 states/eV/atom. Its space group is I4/mmm, No. 139.

## R
First-principles (PBE-GGA) data for HoNi4 after structural relaxation, as listed in Alexandria.

```
HoNi4
1.0
-1.480 -6.067 3.564
5.911 3.021 2.763
-5.531 4.553 0.618
Ho Ni
4 16
direct
0.554 0.000 0.000
0.000 0.554 0.000
0.446 0.446 0.446
0.000 0.000 0.554
0.200 0.000 0.000
0.000 0.200 0.000
0.800 0.800 0.800
0.000 0.000 0.200
0.352 0.000 0.352
0.648 0.000 0.648
0.000 0.648 0.648
0.000 0.352 0.352
0.352 0.352 0.000
0.648 0.648 0.000
0.250 0.500 0.750
0.750 0.500 0.250
0.500 0.250 0.750
0.500 0.750 0.250
0.750 0.250 0.500
0.250 0.750 0.500
```

## Properties
As for the crystal system: cubic. As for the calculated density: 9.276 g cm⁻³. The calculation puts the magnetic moment at 2.1 μB/cell. Its density of states at the Fermi level is 1.503 states/eV/atom. Its space group is I-43m, No. 217.

Energy ordering: R at the bottom, the next structure 865 meV per atom above.

## P
First-principles (PBE-GGA) data for Ho4Ni after structural relaxation, as listed in Alexandria.

```
Ho4Ni
1.0
0.000 5.281 5.281
5.281 0.000 5.281
5.281 5.281 0.000
Ho Ni
8 2
direct
0.887 0.887 0.887
0.338 0.887 0.887
0.887 0.887 0.338
0.912 0.363 0.363
0.363 0.363 0.363
0.887 0.338 0.887
0.363 0.363 0.912
0.363 0.912 0.363
0.500 0.500 0.500
0.750 0.750 0.750
```

## Properties
As for the crystal system: cubic. As for the calculated density: 8.101 g cm⁻³. The calculation puts the magnetic moment at 0.0 μB/cell. Its density of states at the Fermi level is 1.750 states/eV/atom. Its space group is Fd-3m, No. 227.

## Q
First-principles (PBE-GGA) data for Ho4Ni after structural relaxation, as listed in Alexandria.

```
Ho4Ni
1.0
-3.566 3.409 1.871
-1.881 0.709 -4.878
-3.403 -3.964 0.736
Ni Ho
1 4
direct
0.500 0.500 0.500
0.000 0.000 0.000
0.500 0.000 0.500
0.000 0.500 0.500
0.500 0.500 0.000
```

## Properties
As for the crystal system: cubic. As for the calculated density: 8.124 g cm⁻³. The calculation puts the magnetic moment at 0.0 μB/cell. Its density of states at the Fermi level is 1.912 states/eV/atom. Its space group is Pm-3m, No. 221.

## R
First-principles (PBE-GGA) data for Ho4Ni after structural relaxation, as listed in Alexandria.

```
Ho4Ni
1.0
-5.966 -3.879 -0.186
4.134 -0.827 -5.736
3.757 -2.147 5.657
Ho Ni
8 2
direct
0.635 0.466 0.763
0.703 0.872 0.237
0.789 0.026 0.831
0.195 0.958 0.169
0.276 0.539 0.331
0.208 0.945 0.669
0.122 0.453 0.737
0.716 0.385 0.263
0.330 0.330 0.000
0.580 0.080 0.500
```

## Properties
As for the crystal system: tetragonal. As for the calculated density: 8.622 g cm⁻³. The calculation puts the magnetic moment at 0.0 μB/cell. Its density of states at the Fermi level is 1.390 states/eV/atom. Its space group is I-42d, No. 122.

Energy ordering: R at the bottom, the next structure 94 meV per atom above.

## P
First-principles (PBE-GGA) data for Ho3Ni2 after structural relaxation, as listed in Alexandria.

```
Ho3Ni2
1.0
3.737 0.000 0.000
0.000 11.086 0.000
0.000 0.000 10.902
Ho Ni
12 8
direct
0.250 0.631 0.553
0.250 0.869 0.053
0.750 0.369 0.447
0.750 0.131 0.947
0.750 0.067 0.617
0.750 0.433 0.117
0.250 0.933 0.383
0.250 0.567 0.883
0.250 0.315 0.718
0.250 0.184 0.218
0.750 0.685 0.282
0.750 0.816 0.782
0.250 0.184 0.481
0.250 0.316 0.981
0.750 0.816 0.519
0.750 0.684 0.019
0.750 0.502 0.689
0.750 0.998 0.189
0.250 0.498 0.311
0.250 0.002 0.811
```

## Properties
As for the crystal system: orthorhombic. As for the calculated density: 9.002 g cm⁻³. The calculation puts the magnetic moment at 0.0 μB/cell. Its density of states at the Fermi level is 0.678 states/eV/atom. Its space group is Pnma, No. 62.

## Q
First-principles (PBE-GGA) data for Ho3Ni2 after structural relaxation, as listed in Alexandria.

```
Ho3Ni2
1.0
7.186 -0.008 -0.007
2.136 6.861 -0.007
2.136 1.570 6.679
Ho Ni
9 6
direct
0.000 0.000 0.000
0.793 0.793 0.793
0.207 0.207 0.207
0.336 0.614 0.829
0.829 0.336 0.614
0.614 0.829 0.336
0.664 0.386 0.171
0.171 0.664 0.386
0.386 0.171 0.664
0.144 0.960 0.587
0.587 0.144 0.960
0.960 0.587 0.144
0.856 0.040 0.413
0.413 0.856 0.040
0.040 0.413 0.856
```

## Properties
As for the crystal system: trigonal. As for the calculated density: 9.252 g cm⁻³. The calculation puts the magnetic moment at 0.0 μB/cell. Its density of states at the Fermi level is 0.993 states/eV/atom. Its space group is R-3, No. 148.

## R
First-principles (PBE-GGA) data for Ho3Ni2 after structural relaxation, as listed in Alexandria.

```
Ho3Ni2
1.0
-3.574 0.365 0.532
-0.768 -2.414 -3.503
0.387 -4.627 5.771
Ho Ni
3 2
direct
0.000 0.848 0.695
0.500 0.500 0.000
0.000 0.152 0.305
0.500 0.697 0.394
0.500 0.303 0.606
```

## Properties
As for the crystal system: orthorhombic. As for the calculated density: 9.139 g cm⁻³. The calculation puts the magnetic moment at 0.0 μB/cell. Its density of states at the Fermi level is 0.933 states/eV/atom. Its space group is Cmmm, No. 65.

## S
First-principles (PBE-GGA) data for Ho3Ni2 after structural relaxation, as listed in Alexandria.

```
Ho3Ni2
1.0
6.872 0.031 -0.017
5.880 3.556 -0.017
2.456 0.691 9.108
Ho Ni
6 4
direct
0.132 0.132 0.003
0.868 0.868 0.997
0.402 0.402 0.673
0.598 0.598 0.327
0.143 0.143 0.634
0.857 0.857 0.366
0.534 0.534 0.855
0.466 0.466 0.145
0.743 0.743 0.774
0.257 0.257 0.226
```

## Properties
As for the crystal system: monoclinic. As for the calculated density: 9.195 g cm⁻³. The calculation puts the magnetic moment at 0.0 μB/cell. Its density of states at the Fermi level is 0.826 states/eV/atom. Its space group is C2/m, No. 12.

Energy ordering: S at the bottom, the next structure 16 meV per atom above.

## P
First-principles (PBE-GGA) data for Ho8Ni2Os after structural relaxation, as listed in Alexandria.

```
Ho8Ni2Os
1.0
-2.127 -0.821 -4.434
5.508 -3.058 -2.076
-3.852 -5.547 5.678
Ho Ni Os
8 2 1
direct
0.408 0.557 0.816
0.670 0.975 0.340
0.800 0.678 0.600
0.965 0.205 0.929
0.200 0.322 0.400
0.330 0.025 0.660
0.592 0.443 0.184
0.035 0.795 0.071
0.812 0.290 0.623
0.188 0.710 0.377
0.500 0.000 0.000
```

## Properties
As for the crystal system: monoclinic. As for the calculated density: 10.073 g cm⁻³. The calculation puts the magnetic moment at 0.0 μB/cell. Its density of states at the Fermi level is 1.063 states/eV/atom. Its space group is C2/m, No. 12.

## Q
First-principles (PBE-GGA) data for Ho8Ni2Os after structural relaxation, as listed in Alexandria.

```
Ho8Ni2Os
1.0
5.797 0.094 -0.951
-1.892 6.610 -2.866
-0.091 -0.192 7.445
Ho Ni Os
8 2 1
direct
0.575 0.338 0.081
0.575 0.081 0.338
0.167 0.360 0.360
0.989 0.215 0.786
0.989 0.786 0.215
0.814 0.645 0.645
0.385 0.925 0.669
0.385 0.669 0.925
0.490 0.697 0.314
0.490 0.314 0.697
0.142 0.001 0.001
```

## Properties
As for the crystal system: monoclinic. As for the calculated density: 9.563 g cm⁻³. The calculation puts the magnetic moment at 0.0 μB/cell. Its density of states at the Fermi level is 1.081 states/eV/atom. Its space group is Cm, No. 8.

Energy ordering: P at the bottom, the next structure 89 meV per atom above.

## P
First-principles (PBE-GGA) data for HoNi3P2 after structural relaxation, as listed in Alexandria.

```
HoNi3P2
1.0
-3.053 2.157 0.213
-2.312 -6.217 -3.087
0.320 -0.218 6.800
Ho Ni P
2 6 4
direct
0.846 0.692 0.931
0.154 0.308 0.069
0.317 0.633 0.566
0.957 0.914 0.634
0.599 0.198 0.688
0.401 0.802 0.312
0.043 0.086 0.366
0.683 0.367 0.434
0.481 0.962 0.823
0.519 0.038 0.177
0.811 0.622 0.321
0.189 0.378 0.679
```

## Properties
As for the crystal system: monoclinic. As for the calculated density: 8.188 g cm⁻³. The calculation puts the magnetic moment at 0.0 μB/cell. Its density of states at the Fermi level is 0.737 states/eV/atom. Its space group is C2/m, No. 12.

## Q
First-principles (PBE-GGA) data for HoNi3P2 after structural relaxation, as listed in Alexandria.

```
HoNi3P2
1.0
-2.692 -1.562 -2.020
0.911 -4.844 5.939
-5.829 6.435 2.792
Ho Ni P
3 9 6
direct
0.154 0.307 0.700
0.846 0.693 0.300
0.000 0.000 0.000
0.046 0.092 0.339
0.954 0.908 0.661
0.219 0.439 0.393
0.781 0.561 0.607
0.629 0.258 0.208
0.371 0.742 0.792
0.500 0.000 0.500
0.324 0.648 0.032
0.676 0.352 0.968
0.200 0.401 0.132
0.800 0.599 0.868
0.467 0.934 0.217
0.533 0.066 0.783
0.361 0.722 0.546
0.639 0.278 0.454
```

## Properties
As for the crystal system: monoclinic. As for the calculated density: 8.279 g cm⁻³. The calculation puts the magnetic moment at 0.0 μB/cell. Its density of states at the Fermi level is 0.551 states/eV/atom. Its space group is C2/m, No. 12.

Energy ordering: Q at the bottom, the next structure 50 meV per atom above.

## P
First-principles (PBE-GGA) data for HoPaNi after structural relaxation, as listed in Alexandria.

```
HoPaNi
1.0
-2.148 -1.844 -1.981
1.547 -3.898 1.952
-3.611 2.231 1.838
Ni Pa Ho
1 1 1
direct
0.282 0.333 0.667
0.060 0.000 0.000
0.658 0.667 0.333
```

## Properties
As for the crystal system: trigonal. As for the calculated density: 11.792 g cm⁻³. The calculation puts the magnetic moment at 0.0 μB/cell. Its density of states at the Fermi level is 1.390 states/eV/atom. Its space group is P3m1, No. 156.

## Q
First-principles (PBE-GGA) data for HoPaNi after structural relaxation, as listed in Alexandria.

```
HoPaNi
1.0
-2.608 2.033 -0.005
-3.633 -4.661 -0.401
3.404 1.696 7.482
Ho Ni Pa
2 2 2
direct
0.058 0.821 0.116
0.942 0.179 0.884
0.871 0.635 0.741
0.129 0.365 0.259
0.724 0.735 0.447
0.276 0.265 0.553
```

## Properties
As for the crystal system: monoclinic. As for the calculated density: 10.661 g cm⁻³. The calculation puts the magnetic moment at 0.0 μB/cell. Its density of states at the Fermi level is 1.520 states/eV/atom. Its space group is C2/m, No. 12.

## R
First-principles (PBE-GGA) data for HoPaNi after structural relaxation, as listed in Alexandria.

```
HoPaNi
1.0
3.468 0.000 0.000
0.000 3.468 0.000
-1.734 -1.734 5.592
Ni Pa Ho
1 1 1
direct
0.694 0.694 0.389
0.298 0.298 0.595
0.008 0.008 0.016
```

## Properties
As for the crystal system: tetragonal. As for the calculated density: 11.223 g cm⁻³. The calculation puts the magnetic moment at 0.0 μB/cell. Its density of states at the Fermi level is 1.164 states/eV/atom. Its space group is I4mm, No. 107.

Energy ordering: R at the bottom, the next structure 237 meV per atom above.